[1]
Computed, not measured: a relaxed Sr2TlP2 crystal at the PBEsol level of DFT.

abc: 4.269 7.711 7.711
angles: 90.00 90.00 90.00
Fractional coordinates of all 10 atoms:
Sr: 0.500 0.182 0.682
Sr: 0.500 0.682 0.818
Sr: 0.500 0.818 0.318
Sr: 0.500 0.318 0.182
Tl: 0.000 0.000 0.000
Tl: 0.000 0.500 0.500
P: 0.000 0.397 0.897
P: 0.000 0.897 0.603
P: 0.000 0.603 0.103
P: 0.000 0.103 0.397

E_form in eV/f.u.: -4.07



[2]
Computed, not measured: a relaxed Rb3HSe crystal at the PBEsol level of DFT.

abc: 5.342 5.342 5.342
angles: 90.00 90.00 90.00
Fractional coordinates of all 5 atoms:
H: 0.000 0.000 0.000
Rb: 0.000 0.500 0.000
Rb: 0.000 0.000 0.500
Rb: 0.500 0.000 0.000
Se: 0.500 0.500 0.500

Raw total energy in eV per atom: -2.691



[3]
Computed, not measured: a relaxed CaBePt crystal at the PBEsol level of DFT.

abc: 3.864 3.864 4.269
angles: 90.00 90.00 120.00
Fractional coordinates of all 3 atoms:
Be: 0.000 0.000 0.500
Ca: 0.667 0.333 0.000
Pt: 0.333 0.667 0.500

E_form in eV/f.u.: -1.88



[4]
Computed, not measured: a relaxed Mn3O5F crystal at the PBEsol level of DFT.

abc: 5.328 5.328 7.058
angles: 71.11 71.11 71.19
Fractional coordinates of all 18 atoms:
Mn: 0.674 0.674 0.845
Mn: 0.327 0.327 0.667
Mn: 0.655 0.655 0.318
Mn: 0.331 0.331 0.163
Mn: 0.004 0.004 0.508
Mn: 0.006 0.006 0.990
O: 0.639 0.029 0.667
O: 0.968 0.362 0.334
O: 0.233 0.233 0.961
O: 0.103 0.103 0.704
O: 0.773 0.773 0.034
O: 0.429 0.429 0.373
O: 0.362 0.968 0.334
O: 0.029 0.639 0.667
O: 0.698 0.308 0.001
O: 0.308 0.698 0.001
F: 0.896 0.896 0.299
F: 0.568 0.568 0.634

Polymorph energy (0 for the lowest one) in eV per atom: 0.021
Energy relative to the elements, uncorrected in kJ/mol of atoms: -166.28